No. 1
LaNd2PaN4 | PBE-GGA | relaxed

Calculated values
As for the crystal system: monoclinic.

The structure in POSCAR format:
```
LaNd2PaN4
1.0
6.2558 0.0000 0.0000
0.0000 3.6311 0.0000
-2.0781 0.0000 5.9679
La Nd Pa N
1 2 1 4
direct
0.0000 0.0000 0.0000
0.5000 0.0000 0.5000
0.5000 0.5000 0.0000
0.0000 0.5000 0.5000
0.2237 0.0000 0.7200
0.2320 0.5000 0.2754
0.7680 0.5000 0.7246
0.7763 0.0000 0.2800
```

No. 2
LaNdPaN3 | PBE-GGA | relaxed

Calculated values
As for the crystal system: monoclinic.

The structure in POSCAR format:
```
LaNdPaN3
1.0
6.5259 0.0000 0.0000
0.0000 3.5043 0.0000
-0.0457 0.0000 10.5165
La Nd Pa N
2 2 2 6
direct
0.1810 0.2500 0.2686
0.8190 0.7500 0.7314
0.3360 0.7500 0.6073
0.6640 0.2500 0.3927
0.2054 0.2500 0.9216
0.7946 0.7500 0.0784
0.1332 0.2500 0.7261
0.1476 0.7500 0.0564
0.3843 0.7500 0.3808
0.6157 0.2500 0.6192
0.8524 0.2500 0.9436
0.8668 0.7500 0.2739
```

No. 3
La2NdPaN5 | PBE-GGA | relaxed

Calculated values
As for the crystal system: tetragonal.

The structure in POSCAR format:
```
La2NdPaN5
1.0
4.2008 0.0000 0.0000
0.0000 4.2008 0.0000
0.0000 0.0000 9.1941
La Nd Pa N
2 1 1 5
direct
0.0000 0.0000 0.2278
0.0000 0.0000 0.7722
0.5000 0.5000 0.5000
0.5000 0.5000 0.0000
0.0000 0.0000 0.5000
0.0000 0.5000 0.0000
0.5000 0.0000 0.0000
0.5000 0.5000 0.2501
0.5000 0.5000 0.7499
```

No. 4
La3NdPa2N6 | PBE-GGA | relaxed

Calculated values
As for the crystal system: monoclinic.

The structure in POSCAR format:
```
La3NdPa2N6
1.0
3.1325 -5.4245 0.0000
3.1325 5.4245 0.0000
-2.0868 0.0000 6.0077
La Nd Pa N
3 1 2 6
direct
0.0000 0.0000 0.0000
0.3348 0.6652 0.0000
0.6652 0.3348 0.0000
0.5000 0.5000 0.5000
0.1668 0.8332 0.5000
0.8332 0.1668 0.5000
0.0705 0.4287 0.2867
0.2113 0.2113 0.7097
0.4287 0.0705 0.2867
0.5713 0.9295 0.7133
0.7887 0.7887 0.2903
0.9295 0.5713 0.7133
```

No. 5
La2NdPaN4 | PBE-GGA | relaxed

Calculated values
As for the crystal system: monoclinic.

The structure in POSCAR format:
```
La2NdPaN4
1.0
6.2823 0.0000 0.0000
0.0000 3.6448 0.0000
-2.0783 0.0000 6.0132
La Nd Pa N
2 1 1 4
direct
0.0000 0.0000 0.0000
0.5000 0.5000 0.0000
0.0000 0.5000 0.5000
0.5000 0.0000 0.5000
0.2693 0.0000 0.7230
0.2808 0.5000 0.2849
0.7192 0.5000 0.7151
0.7307 0.0000 0.2770
```

No. 6
La2Nd4Pb3N2 | PBE-GGA | relaxed

Calculated values
As for the crystal system: tetragonal.

The structure in POSCAR format:
```
La2Nd4Pb3N2
1.0
-2.4750 2.4750 13.2133
2.4750 -2.4750 13.2133
2.4750 2.4750 -13.2133
La Nd Pb N
2 4 3 2
direct
0.1913 0.1913 0.0000
0.8087 0.8087 0.0000
0.0836 0.5836 0.5000
0.4164 0.9164 0.5000
0.5836 0.0836 0.5000
0.9164 0.4164 0.5000
0.3244 0.3244 0.0000
0.5000 0.5000 0.0000
0.6756 0.6756 0.0000
0.1036 0.1036 0.0000
0.8964 0.8964 0.0000
```

No. 7
LaNd2PbN | PBE-GGA | relaxed

Calculated values
As for the crystal system: tetragonal.

The structure in POSCAR format:
```
LaNd2PbN
1.0
5.0677 0.0000 0.0000
0.0000 5.0677 0.0000
0.0000 0.0000 5.0819
La Nd Pb N
1 2 1 1
direct
0.0000 0.0000 0.0000
0.0000 0.5000 0.5000
0.5000 0.0000 0.5000
0.5000 0.5000 0.0000
0.0000 0.0000 0.5000
```

No. 8
LaPmNdN3 | PBE-GGA | relaxed

Calculated values
As for the crystal system: monoclinic.

The structure in POSCAR format:
```
LaPmNdN3
1.0
6.2973 0.0000 0.0000
0.0000 3.6261 0.0000
-1.8144 0.0000 9.2826
La Pm Nd N
2 2 2 6
direct
0.1622 0.2500 0.2011
0.8378 0.7500 0.7989
0.3432 0.2500 0.8619
0.6568 0.7500 0.1381
0.2710 0.7500 0.5454
0.7290 0.2500 0.4546
0.0276 0.2500 0.6757
0.2546 0.7500 0.9969
0.4728 0.7500 0.3485
0.5272 0.2500 0.6515
0.7454 0.2500 0.0031
0.9724 0.7500 0.3243
```

Here are the calculated energy relative to the elements, uncorrected numbers, same order: -1479, -1206, -1129, -1535, -1484, -874, -895, -1233 (meV per atom).